{
  "formula": "MnP4O11",
  "functional": "GGA+U",
  "state": "relaxed",
  "lattice_angstrom": [[-8.818, 3.278, 1.388], [-1.174, -6.401, 6.993], [7.186, 7.796, 3.303]],
  "species": ["Mn", "Mn", "Mn", "Mn", "P", "P", "P", "P", "P", "P", "P", "P", "P", "P", "P", "P", "P", "P", "P", "P", "O", "O", "O", "O", "O", "O", "O", "O", "O", "O", "O", "O", "O", "O", "O", "O", "O", "O", "O", "O", "O", "O", "O", "O", "O", "O", "O", "O", "O", "O", "O", "O", "O", "O", "O", "O", "O", "O", "O", "O", "O", "O", "O", "O"],
  "frac_coords": [[0.749, 0.715, 0.983], [0.251, 0.285, 0.017], [0.766, 0.233, 0.497], [0.234, 0.767, 0.503], [0.091, 0.939, 0.760], [0.909, 0.061, 0.240], [0.768, 0.924, 0.616], [0.232, 0.076, 0.384], [0.099, 0.718, 0.907], [0.901, 0.282, 0.093], [0.734, 0.593, 0.440], [0.266, 0.407, 0.560], [0.572, 0.906, 0.772], [0.428, 0.094, 0.228], [0.429, 0.763, 0.074], [0.571, 0.237, 0.926], [0.095, 0.404, 0.750], [0.905, 0.596, 0.250], [0.420, 0.623, 0.279], [0.580, 0.377, 0.721], [0.915, 0.959, 0.744], [0.085, 0.041, 0.256], [0.095, 0.832, 0.628], [0.905, 0.168, 0.372], [0.182, 0.088, 0.830], [0.818, 0.912, 0.170], [0.129, 0.860, 0.875], [0.871, 0.140, 0.125], [0.733, 0.745, 0.557], [0.267, 0.255, 0.443], [0.770, 0.994, 0.517], [0.230, 0.006, 0.483], [0.644, 0.974, 0.682], [0.356, 0.026, 0.318], [0.251, 0.722, 0.023], [0.749, 0.278, 0.977], [0.091, 0.584, 0.774], [0.909, 0.416, 0.226], [0.974, 0.715, 0.958], [0.026, 0.285, 0.042], [0.836, 0.644, 0.372], [0.164, 0.356, 0.628], [0.572, 0.550, 0.333], [0.428, 0.450, 0.667], [0.782, 0.474, 0.494], [0.218, 0.526, 0.506], [0.543, 0.062, 0.874], [0.457, 0.938, 0.126], [0.424, 0.821, 0.685], [0.576, 0.179, 0.315], [0.691, 0.843, 0.854], [0.309, 0.157, 0.146], [0.501, 0.696, 0.973], [0.499, 0.304, 0.027], [0.483, 0.720, 0.205], [0.517, 0.280, 0.795], [0.941, 0.322, 0.691], [0.059, 0.678, 0.309], [0.206, 0.397, 0.876], [0.794, 0.603, 0.124], [0.394, 0.732, 0.398], [0.606, 0.268, 0.602], [0.307, 0.497, 0.177], [0.693, 0.503, 0.823]],
  "dft_energy_ev_per_fu": -116.73,
  "spacegroup": "No. 2",
  "polymorph_energy_kj_per_mol_atoms": 0.81,
  "dos_ef_per_ev_cell": 0.00
}